Here is crystalline CaNbAlCd2 at its relaxed geometry from Alexandria via LeMat-Bulk. Energies are from PBE.

Calculated values
Crystal system: tetragonal
Fermi-level density of states (states/eV per atom): 0.683
Energy of formation (kJ/mol of atoms): 46.11
Space-group type: P4/mmm (123)
Calculated total energy (Ha/atom): -0.1121

Cell lengths 5.0396, 5.0327, 5.0396 Å; angles 90.00, 90.00, 90.00 degrees
Each line ends with the local moment (μB).
Fractional coordinates of all 5 atoms:
1 Cd 0.5000 0.0000 0.0000  -0.01
2 Cd 0.0000 0.0000 0.5000  -0.02
3 Nb 0.0000 0.5000 0.0000  0.81
4 Al 0.0000 0.0000 0.0000  -0.01
5 Ca 0.5000 0.5000 0.5000  0.03